A geometry-optimized CaLa2Zn structure. Source: Alexandria, functional PBE-GGA.

**E_form**: -0.019 eV per atom
**E**: -13.2 eV/cell

Lattice parameters (Å, degrees): 11.2951 11.2951 11.2951 19.32 19.32 19.32
Last column: nearest neighbours and their distance in Å.
Sites, in units of the cell vectors:
Ca  0.0000  0.0000  0.0000  6 Ca 3.79, 6 La 3.95
La  0.2345  0.2345  0.2345  3 Zn 3.14
La  0.7655  0.7655  0.7655  3 Zn 3.14
Zn  0.5000  0.5000  0.5000  6 La 3.14